1.
NiHgAs: relaxed, PBEsol.

As for the formation energy: 12 meV/atom. The calculation puts the density at 11.0 g/cm³. The distance to the lowest polymorph of the same formula is 0.000 eV per atom.

Cell and atoms, written as CIF:
```
data_NiHgAs
_symmetry_space_group_name_H-M 'I 4 m m'
_symmetry_Int_Tables_number 107
_symmetry_space_group_name_Hall 'I 4 -2'
_cell_length_a 2.916
_cell_length_b 2.916
_cell_length_c 11.905
_cell_angle_alpha 90.00
_cell_angle_beta 90.00
_cell_angle_gamma 90.00
loop_
_atom_site_label
_atom_site_type_symbol
_atom_site_fract_x
_atom_site_fract_y
_atom_site_fract_z
Ni1 Ni 0.000 0.000 0.000
Hg1 Hg 0.000 0.000 0.335
As1 As 0.000 0.000 0.608
```

2.
CaCr2Re: relaxed, PBEsol.

As for the formation energy: 583 meV/atom. The calculation puts the density at 8.1 g/cm³. The distance to the lowest polymorph of the same formula is 0.000 eV per atom.

Cell and atoms, written as CIF:
```
data_CaCr2Re
_symmetry_space_group_name_H-M 'P 1 2/m 1'
_symmetry_Int_Tables_number 10
_cell_length_a 2.786
_cell_length_b 4.020
_cell_length_c 6.156
_cell_angle_alpha 90.00
_cell_angle_beta 99.77
_cell_angle_gamma 90.00
loop_
_symmetry_equiv_pos_as_xyz
'x,y,z'
'-x,-y,-z'
'-x,y,-z'
'x,-y,z'
loop_
_atom_site_label
_atom_site_type_symbol
_atom_site_fract_x
_atom_site_fract_y
_atom_site_fract_z
Ca1 Ca 0.000 0.000 0.000
Cr1 Cr 0.183 0.500 0.658
Re1 Re 0.500 0.000 0.500
```

3.
BaDy2Te4: relaxed, PBEsol.

The calculation puts the density at 6.7 g/cm³. For the uncorrected formation energy, the calculation gives -1.52 eV/atom.

Cell and atoms, written as CIF:
```
data_BaDy2Te4
_symmetry_space_group_name_H-M 'P n m a'
_symmetry_Int_Tables_number 62
_cell_length_a 13.550
_cell_length_b 4.410
_cell_length_c 16.044
_cell_angle_alpha 90.00
_cell_angle_beta 90.00
_cell_angle_gamma 90.00
loop_
_symmetry_equiv_pos_as_xyz
'x,y,z'
'-x,-y,-z'
'-x+1/2,-y,z+1/2'
'x+1/2,y,-z+1/2'
'x+1/2,-y+1/2,-z+1/2'
'-x+1/2,y+1/2,z+1/2'
'-x,y+1/2,-z'
'x,-y+1/2,z'
loop_
_atom_site_label
_atom_site_type_symbol
_atom_site_fract_x
_atom_site_fract_y
_atom_site_fract_z
Ba1 Ba 0.238 0.250 0.170
Dy1 Dy 0.060 0.250 0.391
Dy2 Dy 0.080 0.250 0.904
Te1 Te 0.027 0.750 0.784
Te2 Te 0.091 0.250 0.577
Te3 Te 0.129 0.750 0.029
Te4 Te 0.205 0.750 0.339
```